Record 1
Below is crystalline Cd2GaAgF at its relaxed geometry, with properties calculated at the PBE level.

Structure (POSCAR):
```
Cd2GaAgF
1.0
5.4733 0.0000 0.0000
0.0000 5.4733 0.0000
0.0000 0.0000 4.3147
F Ga Ag Cd
1 1 1 2
direct
0.0000 0.0000 0.5000
0.5000 0.5000 0.5000
0.0000 0.0000 0.0000
0.0000 0.5000 0.0000
0.5000 0.0000 0.0000
```

Properties
The value obtained for the density of states at the Fermi level is 0.482 states/eV per atom. Its raw formation energy is -0.141 eV/atom. As for the space-group type: No. 123.


Record 2
Below is crystalline CdGaAg2F6 at its relaxed geometry, with properties calculated at the PBE level.

Structure (POSCAR):
```
CdGaAg2F6
1.0
-2.1119 1.5055 -5.9017
1.1594 -5.1761 -1.7353
-7.4196 -2.2021 1.6112
Cd Ga Ag F
2 2 4 12
direct
0.5000 0.0000 0.0000
0.0000 0.5000 0.5000
0.5000 0.0000 0.5000
0.0000 0.5000 0.0000
0.0103 0.0002 0.3085
0.5103 0.4998 0.8085
0.9897 0.9998 0.6915
0.4897 0.5002 0.1915
0.1889 0.7452 0.0709
0.6889 0.7548 0.5709
0.8111 0.2548 0.9291
0.3111 0.2452 0.4291
0.3105 0.7549 0.4299
0.8105 0.7451 0.9299
0.6895 0.2451 0.5701
0.1895 0.2549 0.0701
0.8668 0.4989 0.2281
0.3668 0.0011 0.7281
0.1332 0.5011 0.7719
0.6332 0.9989 0.2719
```

Properties
The value obtained for the density of states at the Fermi level is 0.182 states/eV per atom. Its raw formation energy is -1.754 eV/atom. As for the space-group type: No. 14.


Record 3
Below is crystalline CdAg2HF6 at its relaxed geometry, with properties calculated at the PBE level.

Structure (POSCAR):
```
CdAg2HF6
1.0
5.9779 0.0000 0.0088
0.0000 4.6160 0.0000
-0.0265 0.0000 10.6832
Cd Ag H F
2 4 2 12
direct
0.0000 0.5000 0.5000
0.5000 0.0000 0.0000
0.0002 0.0006 0.1846
0.4998 0.5006 0.3154
0.5002 0.4994 0.6846
0.9998 0.9994 0.8154
0.0000 0.5000 0.0000
0.5000 0.0000 0.5000
0.8273 0.2843 0.6572
0.8832 0.2984 0.0003
0.8265 0.2847 0.3433
0.6735 0.7847 0.1567
0.6168 0.7984 0.4997
0.6727 0.7843 0.8428
0.3273 0.2157 0.1572
0.3832 0.2016 0.5003
0.3265 0.2153 0.8433
0.1168 0.7016 0.9997
0.1735 0.7153 0.6567
0.1727 0.7157 0.3428
```

Properties
The value obtained for the energy is -3.592 eV per atom. The value obtained for the density of states at the Fermi level is 0.365 states/eV per atom. As for the space-group type: No. 14.


Record 4
Below is crystalline CdAgH2F8 at its relaxed geometry, with properties calculated at the PBE level.

Structure (POSCAR):
```
CdAgH2F8
1.0
4.9678 0.5821 -0.3183
0.6703 4.7616 -0.0040
-0.4888 0.0754 6.9026
Cd Ag H F
1 1 2 8
direct
0.0000 0.0000 0.5000
0.0000 0.0000 0.0000
0.4627 0.2685 0.6530
0.5373 0.7315 0.3470
0.2635 0.7849 0.2699
0.7618 0.7406 0.9935
0.7978 0.2106 0.2091
0.7365 0.2151 0.7301
0.2382 0.2594 0.0065
0.2022 0.7894 0.7909
0.7179 0.6908 0.4410
0.2821 0.3092 0.5590
```

Properties
The value obtained for the energy is -3.489 eV per atom. The value obtained for the density of states at the Fermi level is 0.279 states/eV per atom. As for the space-group type: No. 2.


Record 5
Below is crystalline Hf3Cd3AgF20 at its relaxed geometry, with properties calculated at the PBE level.

Structure (POSCAR):
```
Hf3Cd3AgF20
1.0
-0.4813 4.2881 7.2804
-10.4528 1.4851 -1.5658
3.4329 -8.6070 5.2964
Hf Cd Ag F
6 6 2 40
direct
0.7500 0.4171 0.1391
0.7500 0.7219 0.5829
0.2500 0.2781 0.4171
0.7500 0.8609 0.2781
0.2500 0.5829 0.8609
0.2500 0.1391 0.7219
0.2500 0.7300 0.5673
0.2500 0.8372 0.2700
0.7500 0.1628 0.7300
0.2500 0.4327 0.1628
0.7500 0.5673 0.8372
0.7500 0.2700 0.4327
0.2500 0.0000 0.0000
0.7500 0.0000 0.0000
0.7500 0.4149 0.9435
0.2500 0.2349 0.2025
0.2500 0.5851 0.0565
0.2500 0.4486 0.6339
0.7500 0.6339 0.1852
0.2500 0.4714 0.4149
0.0146 0.5744 0.8545
0.2500 0.9676 0.7651
0.2500 0.2256 0.9421
0.2500 0.0579 0.2835
0.7500 0.7651 0.7975
0.7500 0.8148 0.4486
0.7500 0.7744 0.0579
0.4854 0.5744 0.8545
0.2500 0.7975 0.0324
0.5146 0.7199 0.5744
0.7500 0.2835 0.2256
0.5146 0.4256 0.1455
0.9854 0.4256 0.1455
0.0146 0.2801 0.4256
0.7500 0.0324 0.2349
0.4854 0.1455 0.7199
0.7500 0.5286 0.5851
0.2500 0.7165 0.7744
0.2500 0.9435 0.5286
0.7500 0.0565 0.4714
0.9854 0.8545 0.2801
0.0146 0.1455 0.7199
0.9854 0.7199 0.5744
0.2500 0.1852 0.5514
0.7500 0.9421 0.7165
0.0000 0.0000 0.0000
0.4854 0.2801 0.4256
0.7500 0.2025 0.9676
0.2500 0.3661 0.8148
0.7500 0.5514 0.3661
0.2500 0.6667 0.3333
0.5000 0.0000 0.0000
0.7500 0.3333 0.6667
0.5146 0.8545 0.2801
```

Properties
Its raw formation energy is -3.004 eV/atom. As for the space-group type: No. 176.


Record 6
Below is crystalline CdAgHgF5 at its relaxed geometry, with properties calculated at the PBE level.

Structure (POSCAR):
```
CdAgHgF5
1.0
6.4274 0.5303 -0.2327
-1.3690 6.3022 -0.2327
-2.4330 -3.2864 7.7961
Cd Ag Hg F
2 2 2 10
direct
0.0000 0.0000 0.5000
0.0000 0.0000 0.0000
0.6762 0.3238 0.2500
0.3238 0.6762 0.7500
0.2950 0.7050 0.2500
0.7050 0.2950 0.7500
0.0580 0.9420 0.2500
0.9420 0.0580 0.7500
0.7433 0.2123 0.9969
0.2567 0.7877 0.0031
0.7877 0.2567 0.5031
0.2123 0.7433 0.4969
0.6719 0.7238 0.3465
0.3281 0.2762 0.6535
0.2762 0.3281 0.1535
0.7238 0.6719 0.8465
```

Properties
Its raw formation energy is -1.551 eV/atom. As for the space-group type: No. 15.


Record 7
Below is crystalline CdAgHgF6 at its relaxed geometry, with properties calculated at the PBE level.

Structure (POSCAR):
```
CdAgHgF6
1.0
5.1243 0.0000 0.0000
0.0000 5.1243 0.0000
0.0000 0.0000 11.1795
Cd Ag Hg F
2 2 2 12
direct
0.5000 0.5000 0.1664
0.0000 0.0000 0.6664
0.5000 0.5000 0.5012
0.0000 0.0000 0.0012
0.5000 0.5000 0.8330
0.0000 0.0000 0.3330
0.2047 0.7953 0.5048
0.7953 0.2047 0.5048
0.2953 0.2953 0.0048
0.7047 0.7047 0.0048
0.1980 0.8020 0.1644
0.8020 0.1980 0.1644
0.3020 0.3020 0.6644
0.6980 0.6980 0.6644
0.8079 0.1921 0.8305
0.1921 0.8079 0.8305
0.6921 0.6921 0.3305
0.3079 0.3079 0.3305
```

Properties
The value obtained for the density of states at the Fermi level is 0.507 states/eV per atom. Its raw formation energy is -1.554 eV/atom. As for the space-group type: No. 102.


Record 8
Below is crystalline CdAg2HgF6 at its relaxed geometry, with properties calculated at the PBE level.

Structure (POSCAR):
```
CdAg2HgF6
1.0
5.9855 0.0000 -0.0354
0.0000 6.1787 0.0000
0.0044 0.0000 8.6988
Cd Ag Hg F
2 4 2 12
direct
0.5000 0.0000 0.0000
0.0000 0.5000 0.5000
0.0204 0.9346 0.2476
0.5204 0.5654 0.7476
0.9796 0.0654 0.7524
0.4796 0.4346 0.2524
0.5000 0.0000 0.5000
0.0000 0.5000 0.0000
0.3150 0.6991 0.0745
0.8150 0.8009 0.5745
0.6850 0.3009 0.9255
0.1850 0.1991 0.4255
0.3066 0.6912 0.4319
0.8066 0.8088 0.9319
0.6934 0.3088 0.5681
0.1934 0.1912 0.0681
0.8684 0.5655 0.2573
0.3684 0.9345 0.7573
0.1316 0.4345 0.7427
0.6316 0.0655 0.2427
```

Properties
The value obtained for the density of states at the Fermi level is 0.162 states/eV per atom. Its raw formation energy is -1.462 eV/atom. As for the space-group type: No. 14.


Record 9
Below is crystalline CdAg2I2F2 at its relaxed geometry, with properties calculated at the PBE level.

Structure (POSCAR):
```
CdAg2I2F2
1.0
-2.2277 -1.5815 -2.9905
-3.7872 -4.8138 2.6237
-6.1439 2.8173 0.3436
Cd Ag I F
1 2 2 2
direct
0.0000 0.0000 0.0000
0.1366 0.4616 0.2651
0.8634 0.5384 0.7349
0.5612 0.2005 0.6772
0.4388 0.7995 0.3228
0.2158 0.6965 0.8719
0.7842 0.3035 0.1281
```

Properties
Its raw formation energy is -0.862 eV/atom. As for the space-group type: No. 12.


Record 10
Below is crystalline CdAgIrF6 at its relaxed geometry, with properties calculated at the PBE level.

Structure (POSCAR):
```
CdAgIrF6
1.0
-5.5751 -0.9570 -1.6414
3.9844 -4.3144 -0.4501
-2.0878 -2.8407 8.7472
Cd Ag Ir F
2 2 2 12
direct
0.3333 0.6667 0.2500
0.6667 0.3333 0.7500
0.0000 0.0000 0.0000
0.0000 0.0000 0.5000
0.6667 0.3333 0.2500
0.3333 0.6667 0.7500
0.6569 0.6250 0.1390
0.9681 0.3431 0.1390
0.3431 0.9681 0.6390
0.0319 0.6569 0.8610
0.3750 0.3431 0.3610
0.9681 0.6250 0.3610
0.6250 0.9681 0.8610
0.6569 0.0319 0.3610
0.0319 0.3750 0.6390
0.3750 0.0319 0.1390
0.6250 0.6569 0.6390
0.3431 0.3750 0.8610
```

Properties
Its raw formation energy is -1.532 eV/atom. As for the space-group type: No. 163.


Record 11
Below is crystalline K2CdAg2F6 at its relaxed geometry, with properties calculated at the PBE level.

Structure (POSCAR):
```
K2CdAg2F6
1.0
6.7917 0.0000 0.0000
3.3959 5.8818 0.0000
3.3959 1.9606 5.7992
K Cd Ag F
2 1 2 6
direct
0.7968 0.7968 0.6096
0.2032 0.2032 0.3904
0.0000 0.0000 0.0000
0.4180 0.4180 0.7461
0.5820 0.5820 0.2539
0.7700 0.7700 0.2578
0.2023 0.7700 0.2578
0.7700 0.2023 0.2578
0.2300 0.7977 0.7422
0.7977 0.2300 0.7422
0.2300 0.2300 0.7422
```

Properties
The value obtained for the density of states at the Fermi level is 0.000 states/eV per atom. Its raw formation energy is -1.878 eV/atom. As for the space-group type: No. 166.


Record 12
Below is crystalline K2CdAgF6 at its relaxed geometry, with properties calculated at the PBE level.

Structure (POSCAR):
```
K2CdAgF6
1.0
6.1557 0.0000 -0.4213
0.0000 6.0822 0.0000
-2.8610 -3.0411 4.8322
K Cd Ag F
2 1 1 6
direct
0.2386 0.2527 0.5054
0.7614 0.7473 0.4946
0.0000 0.5000 0.0000
0.5000 0.0000 0.0000
0.3165 0.7290 0.4580
0.2068 0.1916 0.8946
0.7932 0.2970 0.1054
0.2068 0.7030 0.8946
0.7932 0.8084 0.1054
0.6835 0.2710 0.5420
```

Properties
The value obtained for the density of states at the Fermi level is 0.012 states/eV per atom. Its raw formation energy is -2.134 eV/atom. As for the space-group type: No. 12.


Record 13
Below is crystalline KCdAgF6 at its relaxed geometry, with properties calculated at the PBE level.

Structure (POSCAR):
```
KCdAgF6
1.0
5.9177 0.0017 -0.0013
2.9604 5.1237 0.0010
0.0029 -0.0044 5.4354
K Cd Ag F
1 1 1 6
direct
0.0000 0.0000 0.0000
0.6666 0.6666 0.5000
0.3333 0.3334 0.5000
0.0180 0.3585 0.2898
0.3585 0.0180 0.7101
0.6233 0.3588 0.7103
0.0176 0.6237 0.7101
0.3588 0.6233 0.2897
0.6237 0.0176 0.2899
```

Properties
Its raw formation energy is -1.826 eV/atom. As for the space-group type: No. 149.


Record 14
Below is crystalline K4CdAg3F12 at its relaxed geometry, with properties calculated at the PBE level.

Structure (POSCAR):
```
K4CdAg3F12
1.0
-4.1782 -5.5489 3.2087
6.9628 0.1074 3.1705
-3.4226 6.7489 1.1326
K Cd Ag F
4 1 3 12
direct
0.5000 0.5000 0.5000
0.0000 0.0000 0.5000
0.5000 0.0000 0.0000
0.0000 0.5000 0.0000
0.0000 0.0000 0.0000
0.5000 0.0000 0.5000
0.5000 0.5000 0.0000
0.0000 0.5000 0.5000
0.2500 0.5000 0.7500
0.7509 0.0000 0.7509
0.2491 0.0000 0.2491
0.7500 0.5000 0.2500
0.7509 0.7509 0.0000
0.2491 0.2491 0.0000
0.7500 0.2500 0.5000
0.2500 0.7500 0.5000
0.5000 0.2500 0.7500
0.0000 0.7509 0.7509
0.5000 0.7500 0.2500
0.0000 0.2491 0.2491
```

Properties
The value obtained for the density of states at the Fermi level is 0.206 states/eV per atom. Its raw formation energy is -1.991 eV/atom. As for the space-group type: No. 229.


Record 15
Below is crystalline KCd2Ag2F7 at its relaxed geometry, with properties calculated at the PBE level.

Structure (POSCAR):
```
KCd2Ag2F7
1.0
4.4229 0.0000 0.0000
0.0000 4.6766 0.0000
-2.2114 -2.3383 10.4381
K Cd Ag F
1 2 2 7
direct
0.0000 0.0527 0.0000
0.3950 0.3988 0.7899
0.6050 0.6089 0.2101
0.2738 0.7745 0.5477
0.7262 0.2268 0.4523
0.3916 0.8901 0.7833
0.7160 0.7164 0.4321
0.0984 0.6019 0.1969
0.6084 0.1068 0.2167
0.2840 0.2843 0.5679
0.9016 0.4050 0.8031
0.5000 0.4334 0.0000
```

Properties
Its raw formation energy is -1.854 eV/atom. As for the space-group type: No. 44.


Record 16
Below is crystalline K3CdAg2F9 at its relaxed geometry, with properties calculated at the PBE level.

Structure (POSCAR):
```
K3CdAg2F9
1.0
-3.2618 -5.3223 0.3873
4.5176 1.2083 4.1531
-5.1099 3.4628 4.5509
K Cd Ag F
3 1 2 9
direct
0.3333 0.6667 0.6685
0.0000 0.0000 0.0000
0.6667 0.3333 0.3315
0.0000 0.0000 0.5000
0.3333 0.6667 0.1632
0.6667 0.3333 0.8368
0.8342 0.1658 0.6691
0.8342 0.6685 0.6691
0.3315 0.1658 0.6691
0.6685 0.8342 0.3309
0.1658 0.3315 0.3309
0.1658 0.8342 0.3309
0.5000 0.0000 0.0000
0.0000 0.5000 0.0000
0.5000 0.5000 0.0000
```

Properties
The value obtained for the density of states at the Fermi level is 0.295 states/eV per atom. Its raw formation energy is -2.034 eV/atom. As for the space-group type: No. 164.


Record 17
Below is crystalline LaCdAgF6 at its relaxed geometry, with properties calculated at the PBE level.

Structure (POSCAR):
```
LaCdAgF6
1.0
-1.8154 3.3673 -3.8559
-5.0906 -1.6203 0.9817
-1.1163 8.1245 7.6205
La Cd Ag F
2 2 2 12
direct
0.5000 0.5000 0.1678
0.0000 0.0000 0.6678
0.5000 0.5000 0.8342
0.0000 0.0000 0.3342
0.5000 0.5000 0.4996
0.0000 0.0000 0.9996
0.1827 0.8173 0.4971
0.8173 0.1827 0.4971
0.3173 0.3173 0.9971
0.6827 0.6827 0.9971
0.1970 0.8030 0.1821
0.8030 0.1970 0.1821
0.3030 0.3030 0.6821
0.6970 0.6970 0.6821
0.7922 0.2078 0.8201
0.2078 0.7922 0.8201
0.7078 0.7078 0.3201
0.2922 0.2922 0.3201
```

Properties
The value obtained for the density of states at the Fermi level is 0.000 states/eV per atom. Its raw formation energy is -2.749 eV/atom. As for the space-group type: No. 102.


no.,total magnetization (μB per cell)
1,0.0
2,0.0
3,2.1
4,1.1
5,0.0
6,0.2
7,2.1
8,0.0
9,0.0
10,0.2
11,0.0
12,1.0
13,2.0
14,0.0
15,0.0
16,0.0
17,0.1